An optimized crystal structure of ScCu2Hg. Source: OQMD, functional PBE-GGA.

Energy relative to the elements in eV per atom: -0.13
Space group: F-43m, No. 216

a b c (Å): 4.5432 4.5432 4.5432
angles (deg): 60.00 60.00 60.00
Last column: nearest neighbours and their distance in Å.
Sites, in units of the cell vectors:
Sc 0.0000 0.0000 0.0000  4 Hg 2.78, 4 Cu 2.78
Cu 0.5000 0.5000 0.5000  4 Hg 2.78, 4 Cu 2.78
Cu 0.7500 0.7500 0.7500  4 Cu 2.78, 4 Sc 2.78
Hg 0.2500 0.2500 0.2500  4 Cu 2.78, 4 Sc 2.78